# 1
Crystalline MnReMo2 at its relaxed geometry. Source: Alexandria via LeMat-Bulk, functional PBE.

The energy relative to the elements is 0.236 eV per atom. Its distance to the lowest polymorph of the same formula is 167.5 meV/atom.

The space group is I-4m2 (No. 119) and the conventional cell measures 3.811, 3.811 and 8.173 Å, with angles of 90.00, 90.00 and 90.00 degrees. Symmetry generates all atoms from Mn at (0.000, 0.000, 0.000), Re at (0.000, 0.500, 0.250), Mo at (0.000, 0.000, 0.500) and Mo at (0.000, 0.500, 0.750).

# 2
Crystalline Mn2ReMo at its relaxed geometry. Source: Alexandria via LeMat-Bulk, functional PBE.

The energy relative to the elements is 0.087 eV per atom.

The space group is Pm (No. 6) and the conventional cell measures 2.623, 4.295 and 4.906 Å, with angles of 90.00, 98.88 and 90.00 degrees. Symmetry generates all atoms from Mn at (0.000, 0.000, 0.000), Mn at (0.200, 0.500, 0.743), Re at (0.488, 0.000, 0.518) and Mo at (0.714, 0.500, 0.233).

# 3
Crystalline MnReMo at its relaxed geometry. Source: Alexandria via LeMat-Bulk, functional PBE.

The energy relative to the elements is 0.122 eV per atom. Its distance to the lowest polymorph of the same formula is 48.3 meV/atom.

The space group is I4mm (No. 107) and the conventional cell measures 3.117, 3.117 and 8.984 Å, with angles of 90.00, 90.00 and 90.00 degrees. Symmetry generates all atoms from Mn at (0.000, 0.000, 0.000), Re at (0.000, 0.000, 0.667) and Mo at (0.000, 0.000, 0.332).

# 4
Crystalline MnRe4Mo at its relaxed geometry. Source: Alexandria via LeMat-Bulk, functional PBE.

The energy relative to the elements is 0.308 eV per atom.

The space group is F-43m (No. 216) and the conventional cell measures 7.270, 7.270 and 7.270 Å, with angles of 90.00, 90.00 and 90.00 degrees. Symmetry generates all atoms from Mn at (0.000, 0.000, 0.000), Re at (0.126, 0.126, 0.626) and Mo at (0.250, 0.250, 0.250).

# 5
Crystalline Mn2ReMo at its relaxed geometry. Source: Alexandria via LeMat-Bulk, functional PBE.

The energy relative to the elements is 0.096 eV per atom.

The space group is Pmmm (No. 47) and the conventional cell measures 3.141, 4.115 and 4.242 Å, with angles of 90.00, 90.00 and 90.00 degrees. Symmetry generates all atoms from Mn at (0.000, 0.000, 0.000), Mn at (0.500, 0.000, 0.500), Re at (0.000, 0.500, 0.500) and Mo at (0.500, 0.500, 0.000).

# 6
Crystalline Mn2ReMo at its relaxed geometry. Source: Alexandria via LeMat-Bulk, functional PBE.

The energy relative to the elements is 0.698 eV per atom.

The space group is I-42d (No. 122) and the conventional cell measures 6.709, 6.709 and 5.235 Å, with angles of 90.00, 90.00 and 90.00 degrees. Symmetry generates all atoms from Mn at (0.244, 0.250, 0.125), Re at (0.000, 0.000, 0.000) and Mo at (0.000, 0.000, 0.500).

Spin magnetization per entry: 3.509 3.626 4.877 9.827 3.576 14.669 μB/cell